5
Lattice="4.188 0.000 0.000 0.000 4.188 0.000 0.000 0.000 4.295" Properties=species:S:1:pos:R:3 comment="PBE HfSnHPd2, relaxed" magnetic_moment_mub_per_atom=0.000 dft_energy_ev_per_atom=-5.9363 crystal_system=tetragonal dos_ef_per_ev_atom=0.771 pbc="T T T"
H 0.000 0.000 0.000
Hf 0.000 0.000 2.147
Sn 2.094 2.094 2.147
Pd 0.000 2.094 0.000
Pd 2.094 0.000 0.000


5
Lattice="4.052 0.000 0.000 0.000 4.052 0.000 0.000 0.000 4.571" Properties=species:S:1:pos:R:3 comment="PBE HfTa2HPd, relaxed" magnetic_moment_mub_per_atom=0.000 dft_energy_ev_per_atom=-8.5951 crystal_system=tetragonal dos_ef_per_ev_atom=0.823 pbc="T T T"
H 0.000 0.000 0.000
Hf 0.000 0.000 2.285
Pd 2.026 2.026 2.285
Ta 0.000 2.026 0.000
Ta 2.026 0.000 0.000


5
Lattice="4.536 0.000 0.000 0.000 4.536 0.000 0.000 0.000 3.592" Properties=species:S:1:pos:R:3 comment="PBE Hf2TcHPd, relaxed" magnetic_moment_mub_per_atom=0.000 dft_energy_ev_per_atom=-8.2337 crystal_system=tetragonal dos_ef_per_ev_atom=0.760 pbc="T T T"
H 0.000 0.000 0.000
Hf 0.000 2.268 0.000
Hf 2.268 0.000 0.000
Tc 0.000 0.000 1.796
Pd 2.268 2.268 1.796


5
Lattice="3.989 0.000 0.000 0.000 3.989 0.000 0.000 0.000 4.182" Properties=species:S:1:pos:R:3 comment="PBE HfTcHPd2, relaxed" magnetic_moment_mub_per_atom=0.001 dft_energy_ev_per_atom=-7.1683 crystal_system=tetragonal dos_ef_per_ev_atom=0.798 pbc="T T T"
H 0.000 0.000 0.000
Hf 1.995 1.995 2.091
Tc 0.000 0.000 2.091
Pd 0.000 1.995 0.000
Pd 1.995 0.000 0.000


5
Lattice="-0.725 -2.526 3.634 -2.789 -2.599 -2.363 2.919 -2.243 -0.977" Properties=species:S:1:pos:R:3 comment="PBE Hf2TiHPd, relaxed" magnetic_moment_mub_per_atom=0.000 dft_energy_ev_per_atom=-7.5850 crystal_system=tetragonal dos_ef_per_ev_atom=1.109 pbc="T T T"
H 0.000 0.000 0.000
Hf -1.394 -1.300 -1.181
Hf -0.363 -1.263 1.817
Pd -0.297 -3.684 0.147
Ti 1.459 -1.122 -0.488


4
Lattice="3.311 0.000 0.000 0.000 3.311 0.000 0.000 0.000 8.184" Properties=species:S:1:pos:R:3 comment="PBE Pm2HfH, relaxed" magnetic_moment_mub_per_atom=0.000 dft_energy_ev_per_atom=-5.5767 crystal_system=tetragonal de_polymorph_mev_per_atom=0 dos_ef_per_ev_atom=0.720 pbc="T T T"
H 1.655 1.655 0.000
Hf 1.655 1.655 4.092
Pm 0.000 0.000 6.477
Pm 0.000 0.000 1.707


4
Lattice="3.287 0.000 0.000 1.644 2.847 0.000 1.644 0.949 9.549" Properties=species:S:1:pos:R:3 comment="PBE Pm2HfH, relaxed" magnetic_moment_mub_per_atom=0.000 dft_energy_ev_per_atom=-5.5001 crystal_system=trigonal de_polymorph_mev_per_atom=77 dos_ef_per_ev_atom=1.016 pbc="T T T"
H 3.287 1.898 4.775
Hf 0.000 0.000 0.000
Pm 1.644 0.949 6.345
Pm 4.931 2.847 3.205


4
Lattice="3.240 0.000 0.000 1.620 2.806 0.000 1.620 0.935 8.720" Properties=species:S:1:pos:R:3 comment="PBE PmHf2H, relaxed" magnetic_moment_mub_per_atom=0.000 dft_energy_ev_per_atom=-6.8564 crystal_system=trigonal dos_ef_per_ev_atom=1.189 pbc="T T T"
H 3.240 1.871 4.360
Hf 1.620 0.935 5.600
Hf 4.860 2.806 3.121
Pm 0.000 0.000 0.000


12
Lattice="5.987 0.000 0.000 0.000 6.858 -1.844 0.000 -5.303 7.172" Properties=species:S:1:pos:R:3 comment="PBE PmHfH, relaxed" magnetic_moment_mub_per_atom=0.000 dft_energy_ev_per_atom=-6.1674 crystal_system=monoclinic dos_ef_per_ev_atom=0.543 pbc="T T T"
H 0.525 -1.767 3.936
H 2.469 4.314 -0.572
H 5.462 3.321 1.392
H 3.519 -2.759 5.900
Hf 5.368 -2.915 5.153
Hf 3.614 3.166 0.645
Hf 0.620 4.469 0.175
Hf 2.374 -1.611 4.683
Pm 2.544 2.126 3.698
Pm 0.450 1.349 1.035
Pm 3.443 -0.572 1.629
Pm 5.538 0.205 4.293


11
Lattice="3.636 0.189 -0.300 -0.683 5.079 -2.147 0.219 -0.085 5.552" Properties=species:S:1:pos:R:3 comment="PBE PrHf2H8, relaxed" magnetic_moment_mub_per_atom=0.000 dft_energy_ev_per_atom=-5.0837 crystal_system=monoclinic dos_ef_per_ev_atom=0.290 pbc="T T T"
Pr 1.818 0.094 -0.150
Hf -0.081 1.630 2.995
Hf -0.384 3.364 0.410
H 3.022 5.064 1.430
H 3.281 3.586 3.634
H 0.748 3.084 1.981
H 1.363 3.865 -0.346
H 1.808 1.318 3.451
H 2.423 2.099 1.124
H -0.109 1.597 -0.529
H 0.149 0.119 1.675


6
Lattice="-2.985 1.518 0.312 0.434 -3.116 1.184 3.318 4.398 10.358" Properties=species:S:1:pos:R:3 comment="PBE PrHfH, relaxed" magnetic_moment_mub_per_atom=0.000 dft_energy_ev_per_atom=-5.9727 crystal_system=orthorhombic dos_ef_per_ev_atom=0.822 pbc="T T T"
Pr 0.582 0.242 4.393
Pr 1.562 1.541 7.451
H -0.590 -1.315 0.747
H -0.067 2.437 5.631
Hf 1.180 4.088 9.532
Hf -1.318 0.777 1.735


4
Lattice="-0.277 2.158 -2.511 1.848 -0.386 -2.735 -6.416 -4.860 -5.667" Properties=species:S:1:pos:R:3 comment="PBE Pr2HfH, relaxed" magnetic_moment_mub_per_atom=0.000 dft_energy_ev_per_atom=-5.4917 crystal_system=trigonal dos_ef_per_ev_atom=1.094 pbc="T T T"
Pr -4.110 -3.049 -4.365
Pr -0.736 -0.039 -6.548
H -2.423 -1.544 -5.456
Hf 0.000 0.000 0.000


14
Lattice="5.764 0.000 0.000 2.882 4.992 0.000 2.882 1.664 6.624" Properties=species:S:1:pos:R:3 comment="PBE Hf3H3Pt, relaxed" magnetic_moment_mub_per_atom=0.000 dft_energy_ev_per_atom=-7.0074 crystal_system=trigonal de_polymorph_mev_per_atom=95 dos_ef_per_ev_atom=0.492 pbc="T T T"
Hf 3.831 3.369 1.911
Hf 6.695 1.633 1.911
Hf 6.766 4.981 1.911
Hf 4.762 1.674 4.713
Hf 4.833 5.022 4.713
Hf 7.697 3.287 4.713
H 6.751 4.966 3.938
H 6.689 1.654 3.938
H 3.851 3.364 3.938
H 7.676 3.292 2.685
H 4.839 5.002 2.685
H 4.776 1.689 2.685
Pt 2.882 1.664 0.005
Pt 8.646 4.992 6.618


8
Lattice="5.825 0.000 0.000 0.000 5.825 0.000 2.913 2.913 3.457" Properties=species:S:1:pos:R:3 comment="PBE HfHPt2, relaxed" magnetic_moment_mub_per_atom=0.000 dft_energy_ev_per_atom=-6.7869 crystal_system=tetragonal de_polymorph_mev_per_atom=0 dos_ef_per_ev_atom=0.329 pbc="T T T"
H 2.913 2.913 0.000
H 2.913 5.825 1.728
Hf 0.000 0.000 0.000
Hf 5.825 2.913 1.728
Pt 3.687 1.456 0.864
Pt 2.138 4.369 0.864
Pt 4.369 5.050 2.592
Pt 7.281 6.600 2.592


14
Lattice="5.577 0.000 0.000 0.000 5.577 0.000 0.000 0.000 5.577" Properties=species:S:1:pos:R:3 comment="PBE Hf3H3Pt, relaxed" magnetic_moment_mub_per_atom=0.000 dft_energy_ev_per_atom=-7.1024 crystal_system=cubic de_polymorph_mev_per_atom=0 dos_ef_per_ev_atom=0.556 pbc="T T T"
H 1.394 0.000 2.788
H 0.000 2.788 1.394
H 2.788 4.182 0.000
H 4.182 0.000 2.788
H 0.000 2.788 4.182
H 2.788 1.394 0.000
Hf 0.000 1.394 2.788
Hf 0.000 4.182 2.788
Hf 2.788 0.000 4.182
Hf 4.182 2.788 0.000
Hf 2.788 0.000 1.394
Hf 1.394 2.788 0.000
Pt 2.788 2.788 2.788
Pt 0.000 0.000 0.000


4
Lattice="3.825 -1.066 -1.949 1.322 -4.220 -0.117 -0.010 -2.216 -3.829" Properties=species:S:1:pos:R:3 comment="PBE HfHPt2, relaxed" magnetic_moment_mub_per_atom=0.000 dft_energy_ev_per_atom=-6.5325 crystal_system=cubic de_polymorph_mev_per_atom=254 dos_ef_per_ev_atom=0.773 pbc="T T T"
H 0.000 0.000 0.000
Hf 2.569 -3.751 -2.947
Pt 1.284 -1.876 -1.473
Pt 3.853 -5.627 -4.420


36
Lattice="-1.397 2.808 6.456 1.089 -5.570 2.658 10.374 2.567 1.128" Properties=species:S:1:pos:R:3 comment="PBE HfHPt, relaxed" magnetic_moment_mub_per_atom=0.000 dft_energy_ev_per_atom=-7.0468 crystal_system=orthorhombic de_polymorph_mev_per_atom=252 dos_ef_per_ev_atom=0.382 pbc="T T T"
H 1.614 -0.498 3.037
H 5.187 1.284 0.564
H 5.033 -0.097 5.121
H -0.154 -1.381 4.557
H 0.000 0.000 0.000
H 7.742 3.424 6.647
H 2.325 -3.618 3.595
H 6.660 -0.140 7.010
H 8.453 0.304 7.205
H 3.407 -0.054 3.232
H 5.948 2.980 6.452
H 4.119 -3.174 3.790
Hf 4.744 -0.626 6.892
Hf 7.539 -0.590 8.801
Hf 2.748 -1.735 4.273
Hf 7.319 1.541 5.969
Hf 2.528 0.396 1.441
Hf 4.062 2.435 6.196
Hf 5.323 0.431 3.350
Hf -0.019 -1.804 6.374
Hf 10.767 -1.450 4.563
Hf 6.005 -2.629 4.046
Hf 10.086 1.610 3.868
Hf -0.700 1.256 5.678
Pt 2.384 -1.844 7.869
Pt 8.029 -0.736 4.619
Pt 2.038 0.542 5.623
Pt 7.683 1.649 2.372
Pt 1.847 -2.473 1.549
Pt 9.437 -1.859 6.913
Pt 8.220 2.278 8.693
Pt 3.201 2.301 3.608
Pt 5.649 1.642 8.414
Pt 4.418 -1.836 1.828
Pt 6.866 -2.495 6.634
Pt 0.630 1.664 3.329


6
Lattice="3.472 -0.203 0.036 0.202 3.472 0.036 -0.071 -0.063 6.464" Properties=species:S:1:pos:R:3 comment="PBE HfHPt, relaxed" magnetic_moment_mub_per_atom=0.000 dft_energy_ev_per_atom=-7.2985 crystal_system=tetragonal de_polymorph_mev_per_atom=0 dos_ef_per_ev_atom=0.456 pbc="T T T"
Hf 0.441 1.257 1.550
Hf 2.233 2.851 5.713
H 0.555 3.004 0.400
H 2.191 1.166 0.400
Pt 0.410 1.229 4.410
Pt 2.265 2.879 2.853


10
Lattice="5.291 -0.554 -0.002 -1.641 5.060 -0.002 -1.589 -1.962 4.849" Properties=species:S:1:pos:R:3 comment="PBE Hf2H2Pt, relaxed" magnetic_moment_mub_per_atom=0.000 dft_energy_ev_per_atom=-7.1324 crystal_system=monoclinic de_polymorph_mev_per_atom=106 dos_ef_per_ev_atom=0.286 pbc="T T T"
Hf 0.863 2.220 1.210
Hf 3.440 0.133 1.210
Hf -1.379 2.412 3.635
Hf 1.197 0.325 3.635
H 2.321 1.309 2.335
H 2.056 0.983 0.086
H 0.004 1.562 4.760
H -0.261 1.235 2.511
Pt -1.290 3.963 1.210
Pt 3.350 -1.419 3.635


80
Lattice="9.901 0.000 0.000 -3.300 9.335 0.000 -3.300 -4.667 8.084" Properties=species:S:1:pos:R:3 comment="PBE Hf3H12Pt5, relaxed" magnetic_moment_mub_per_atom=0.000 dft_energy_ev_per_atom=-5.1220 crystal_system=cubic dos_ef_per_ev_atom=0.410 pbc="T T T"
Hf 5.775 2.917 1.010
Hf 5.775 6.417 1.010
Hf -0.825 4.084 5.052
Hf 0.825 -0.583 3.031
Hf 7.426 0.000 2.021
Hf 0.825 4.667 2.021
Hf 2.475 0.000 6.063
Hf -4.125 4.667 6.063
Hf 2.475 5.251 5.052
Hf 4.125 0.583 3.031
Hf -2.475 -1.750 7.073
Hf -2.475 1.750 7.073
Pt -0.825 2.334 2.021
Pt -1.650 4.667 0.000
Pt 0.000 0.000 0.000
Pt 2.475 1.750 1.010
Pt 3.300 -2.334 4.042
Pt 3.300 4.667 0.000
Pt -2.475 5.251 3.031
Pt 4.125 -2.917 7.073
Pt 4.125 4.084 3.031
Pt 0.825 -2.334 6.063
Pt 2.475 7.001 2.021
Pt 1.650 2.334 4.042
Pt 4.950 0.000 0.000
Pt -1.650 -2.334 4.042
Pt -0.825 0.583 5.052
Pt -0.825 7.584 1.010
Pt -3.300 2.334 4.042
Pt 5.775 -0.583 5.052
Pt 0.825 2.917 7.073
Pt 4.125 2.334 6.063
H 6.499 1.055 0.350
H 0.101 3.165 3.303
H 7.328 2.083 2.298
H 4.223 1.385 1.089
H 1.172 3.543 5.436
H 6.951 4.715 1.394
H -0.728 5.365 3.387
H -2.573 7.949 1.089
H 0.479 5.792 5.436
H 4.600 4.619 1.394
H 5.052 2.558 2.953
H 5.052 8.279 0.350
H -2.822 4.145 4.392
H 2.001 3.436 0.655
H -3.402 6.777 2.953
H 1.752 -1.503 4.781
H -0.479 0.603 1.744
H 2.001 5.850 0.739
H 4.223 7.251 2.298
H -0.350 3.484 0.739
H -2.129 5.270 6.340
H 2.378 3.969 3.387
H 4.472 5.189 4.392
H 3.651 -1.231 7.429
H 0.923 0.698 4.697
H -1.172 -0.522 3.692
H -0.350 5.898 0.655
H -0.923 -2.584 5.786
H 5.429 -0.603 1.744
H 3.651 1.183 7.345
H 1.300 -1.183 7.345
H 1.549 6.170 3.303
H 3.779 4.065 6.340
H 6.702 -2.109 5.131
H 6.122 0.522 3.692
H -1.752 -3.612 7.734
H 1.300 1.231 7.429
H 2.822 -1.124 2.648
H -1.300 0.048 6.690
H -1.752 2.109 5.131
H 5.873 -3.282 6.995
H 4.028 -0.698 4.697
H -0.923 3.282 6.995
H -3.651 -0.048 6.690
H 2.129 1.124 2.648
H -4.028 2.584 5.786
H 3.199 1.503 4.781
H -3.199 3.612 7.734